Version 1
# Dy4Si2O, optimized geometry, DFT PBE-GGA
# Density (g cm⁻³): 7.681
# Magnetic moment (Bohr magnetons per cell): 0.00
data_Dy4Si2O
_chemical_formula_sum 'Dy8 Si4 O2'
_symmetry_space_group_name_H-M 'I 4/m m m'
_symmetry_Int_Tables_number 139
_symmetry_space_group_name_Hall '-I 4 2'
_cell_length_a 4.4751
_cell_length_b 4.4751
_cell_length_c 15.5912
_cell_angle_alpha 90.00
_cell_angle_beta 90.00
_cell_angle_gamma 90.00
loop_
_atom_site_label
_atom_site_type_symbol
_atom_site_fract_x
_atom_site_fract_y
_atom_site_fract_z
_atom_site_occupancy
Dy1 Dy 0.0000 0.0000 0.1774 1
Dy2 Dy 0.0000 0.5000 0.0000 1
Si1 Si 0.0000 0.0000 0.3641 1
O1 O 0.0000 0.0000 0.0000 1


Version 2
# Dy4Si2O, optimized geometry, DFT PBE-GGA
# Density (g cm⁻³): 7.321
# Magnetic moment (Bohr magnetons per cell): 0.00
data_Dy4Si2O
_chemical_formula_sum 'Dy8 Si4 O2'
_symmetry_space_group_name_H-M 'P 1 21/m 1'
_symmetry_Int_Tables_number 11
_cell_length_a 6.4591
_cell_length_b 6.5279
_cell_length_c 8.1850
_cell_angle_alpha 90.00
_cell_angle_beta 108.33
_cell_angle_gamma 90.00
loop_
_symmetry_equiv_pos_as_xyz
'x,y,z'
'-x,-y,-z'
'-x,y+1/2,-z'
'x,-y+1/2,z'
loop_
_atom_site_label
_atom_site_type_symbol
_atom_site_fract_x
_atom_site_fract_y
_atom_site_fract_z
_atom_site_occupancy
Dy1 Dy 0.0036 0.0005 0.2620 1
Dy2 Dy 0.4100 0.7500 0.0875 1
Dy3 Dy 0.4371 0.7500 0.6271 1
Si1 Si 0.2143 0.2500 0.0465 1
Si2 Si 0.2506 0.2500 0.5673 1
O1 O 0.2354 0.7500 0.8064 1


Relative to the most stable structure, the computed energies are version 1 22; version 2 0, all in meV/atom.


Version 1
# SrDyO2, optimized geometry, DFT PBE-GGA
# Density (g cm⁻³): 7.159
# Magnetic moment (Bohr magnetons per cell): 2.07
data_SrDyO2
_chemical_formula_sum 'Sr3 Dy3 O6'
_symmetry_space_group_name_H-M 'R 3 m'
_symmetry_Int_Tables_number 160
_symmetry_space_group_name_Hall 'R 3 -2"'
_cell_length_a 3.4886
_cell_length_b 3.4886
_cell_length_c 18.6251
_cell_angle_alpha 90.00
_cell_angle_beta 90.00
_cell_angle_gamma 120.00
loop_
_atom_site_label
_atom_site_type_symbol
_atom_site_fract_x
_atom_site_fract_y
_atom_site_fract_z
_atom_site_occupancy
Sr1 Sr 0.0000 0.0000 0.0000 1
Dy1 Dy 0.0000 0.0000 0.8252 1
O1 O 0.0000 0.0000 0.2268 1
O2 O 0.0000 0.0000 0.4283 1


Version 2
# SrDyO2, optimized geometry, DFT PBE-GGA
# Density (g cm⁻³): 5.960
# Magnetic moment (Bohr magnetons per cell): 1.21
data_SrDyO2
_chemical_formula_sum 'Sr3 Dy3 O6'
_symmetry_space_group_name_H-M 'R -3 m'
_symmetry_Int_Tables_number 166
_symmetry_space_group_name_Hall '-R 3 2"'
_cell_length_a 3.6228
_cell_length_b 3.6228
_cell_length_c 20.7446
_cell_angle_alpha 90.00
_cell_angle_beta 90.00
_cell_angle_gamma 120.00
loop_
_atom_site_label
_atom_site_type_symbol
_atom_site_fract_x
_atom_site_fract_y
_atom_site_fract_z
_atom_site_occupancy
Sr1 Sr 0.0000 0.0000 0.0000 1
Dy1 Dy 0.0000 0.0000 0.5000 1
O1 O 0.0000 0.0000 0.1150 1


Relative to the most stable structure, the computed energies are version 1 33; version 2 0, all in meV/atom.